First-principles (PBE with a Hubbard U) data for an optimized crystal structure of K2NbW3O12, as listed in the Alexandria database.

Cell and atoms, written as extended XYZ:
```
18
Lattice="-3.892 4.065 4.841 0.958 -0.973 7.297 3.384 5.228 4.041" Properties=species:S:1:pos:R:3 pbc="T T T"
O 0.737 1.989 9.594
O -1.800 2.467 8.615
O 2.123 3.761 3.522
O -2.286 5.128 8.063
O 2.249 5.853 7.564
O 2.831 5.279 12.161
O -0.288 6.331 6.585
O 2.735 3.192 8.116
O -0.172 8.398 10.641
O 0.622 -0.078 5.538
O -1.674 4.559 12.657
O -2.382 3.041 4.017
W 1.692 2.614 2.020
W -1.946 2.032 2.421
W 0.479 -0.486 3.648
K 0.279 5.164 10.043
K 0.170 3.156 6.136
Nb 0.000 0.000 0.000
```

Results
Space-group type: R-3m
Volume (Å³ per cell): 288.6
Electronic total energy (eV/atom): -7.3404